1.
Material: Na3YZn
Method: DFT, PBE
State: optimized geometry

Geometry as POSCAR:
```
Na3YZn
1.0
-2.432 -4.878 0.694
4.874 -2.495 -0.462
0.725 0.411 5.431
Y Na Zn
1 3 1
Cartesian
1.584 -3.481 2.832
2.437 -1.248 -0.231
0.363 0.206 2.716
-1.216 -2.439 0.347
0.000 0.000 0.000
```

crystal system: cubic
final energy: -1.857 eV/atom
total moment: 0.3 Bohr magnetons per cell

***

2.
Material: SrHgBP2
Method: DFT, PBE
State: optimized geometry

Geometry as POSCAR:
```
SrHgBP2
1.0
5.600 0.000 0.000
0.000 5.600 0.000
0.000 0.000 5.426
Sr B Hg P
1 1 1 2
Cartesian
0.000 0.000 0.000
0.000 0.000 2.713
2.800 2.800 2.713
0.000 2.800 0.000
2.800 0.000 0.000
```

crystal system: tetragonal
final energy: -2.204 eV/atom
total moment: 0.2 Bohr magnetons per cell

***

3.
Material: Cs2GeTeCl6
Method: DFT, PBE
State: optimized geometry

Geometry as POSCAR:
```
Cs2GeTeCl6
1.0
7.438 0.000 0.000
0.000 7.438 0.000
3.719 3.719 6.410
Cs Ge Te Cl
2 1 1 6
Cartesian
7.438 3.719 3.205
3.719 7.438 3.205
3.719 3.719 0.000
0.000 0.000 0.000
3.719 3.719 2.578
7.438 7.438 3.832
1.851 1.851 0.000
5.587 5.587 0.000
5.587 1.851 0.000
1.851 5.587 0.000
```

uncorrected formation energy: -1.15 eV/atom
crystal system: tetragonal
final energy: -3.203 eV/atom
total moment: 0.0 Bohr magnetons per cell

***

4.
Material: KNCl3
Method: DFT, PBE
State: optimized geometry

Geometry as POSCAR:
```
KNCl3
1.0
-5.874 0.168 1.316
-0.509 -3.986 -4.847
5.348 1.004 13.542
K N Cl
2 2 6
Cartesian
1.280 -1.230 5.396
-1.535 0.257 8.803
2.234 -1.971 8.264
-2.997 -2.987 1.089
-0.750 -0.832 11.951
1.420 -2.353 9.580
-2.184 -2.605 -0.226
0.494 -0.141 2.248
0.762 -2.889 2.789
-1.526 -2.069 6.564
```

uncorrected formation energy: -0.17 eV/atom
crystal system: triclinic
final energy: -3.159 eV/atom
total moment: 4.0 Bohr magnetons per cell
energy relative to the lowest polymorph listed for this composition: 0.000 eV per atom

***

5.
Material: TaSbW2
Method: DFT, PBE
State: optimized geometry

Geometry as POSCAR:
```
TaSbW2
1.0
-2.711 -4.291 1.243
4.435 1.044 3.012
-1.165 1.043 2.500
Sb Ta W
1 1 2
Cartesian
1.635 1.043 2.756
0.862 -1.624 2.128
0.000 0.000 0.000
-1.938 -1.624 1.872
```

uncorrected formation energy: 0.49 eV/atom
crystal system: monoclinic
final energy: -9.976 eV/atom
total moment: 0.0 Bohr magnetons per cell

***

6.
Material: Pa2AgSe5
Method: DFT, PBE
State: optimized geometry

Geometry as POSCAR:
```
Pa2AgSe5
1.0
-1.251 6.724 -3.515
-7.619 -0.219 2.293
2.966 6.003 10.427
Pa Ag Se
8 4 20
Cartesian
-1.989 8.148 7.981
-3.915 4.361 1.224
-3.043 10.645 4.721
-7.724 4.251 2.371
-2.862 1.863 4.484
1.820 8.258 6.835
0.948 1.973 3.338
-6.852 10.536 5.868
-1.048 6.310 4.029
-4.857 6.199 5.177
-5.715 -0.163 1.720
-0.190 12.672 7.486
-1.673 9.671 2.272
-4.231 2.838 6.934
-6.340 3.198 -0.037
0.436 9.311 9.243
1.373 5.971 5.134
-7.278 6.538 4.071
-6.031 10.813 8.619
-3.469 6.647 2.925
0.127 1.696 0.586
-2.435 5.862 6.281
-3.681 1.587 1.733
-2.223 10.922 7.473
0.222 6.117 8.229
-6.126 6.392 0.977
-4.522 8.744 6.530
-1.382 3.765 2.676
-0.713 8.854 5.383
-5.191 3.655 3.822
-3.588 6.008 9.374
-2.316 6.501 -0.169
```

uncorrected formation energy: -1.02 eV/atom
crystal system: orthorhombic
final energy: -5.924 eV/atom
total moment: 2.3 Bohr magnetons per cell

***

7.
Material: Ac4NdZn
Method: DFT, PBE
State: optimized geometry

Geometry as POSCAR:
```
Ac4NdZn
1.0
-2.587 0.662 2.880
1.467 -3.035 2.016
9.747 9.131 6.656
Ac Nd Zn
4 1 1
Cartesian
1.151 0.416 3.616
6.134 5.746 4.189
3.613 3.385 2.467
7.476 6.342 7.936
0.000 0.000 0.000
4.313 3.379 5.776
```

crystal system: tetragonal
final energy: -3.815 eV/atom
total moment: 0.0 Bohr magnetons per cell

***

8.
Material: ScPtCl3
Method: DFT, PBE
State: optimized geometry

Geometry as POSCAR:
```
ScPtCl3
1.0
-0.365 0.076 -4.914
1.629 -4.648 -0.192
-4.637 -1.638 0.319
Sc Pt Cl
1 1 3
Cartesian
-1.687 -3.105 -2.394
0.000 0.000 0.000
0.814 -2.324 -0.096
-2.319 -0.819 0.160
-0.182 0.038 -2.457
```

uncorrected formation energy: -0.22 eV/atom
crystal system: cubic
final energy: -3.798 eV/atom
total moment: 1.4 Bohr magnetons per cell
energy relative to the lowest polymorph listed for this composition: 0.383 eV per atom

***

9.
Material: Pm2CoAs4Pd3
Method: DFT, PBE
State: optimized geometry

Geometry as POSCAR:
```
Pm2CoAs4Pd3
1.0
-0.888 -3.521 -2.044
3.590 -1.665 1.308
-4.992 -3.849 8.803
Pm Co As Pd
2 1 4 3
Cartesian
-1.778 -2.789 1.330
-1.864 -3.653 7.105
-1.145 -4.518 4.034
1.351 -2.593 -0.368
0.000 0.000 0.000
-3.583 -4.181 4.513
-0.059 -2.262 3.922
-2.496 -1.925 4.402
-4.723 -5.061 6.524
1.082 -1.382 1.911
```

crystal system: tetragonal
final energy: -5.857 eV/atom
total moment: 1.5 Bohr magnetons per cell

***

10.
Material: LaY12Er5
Method: DFT, PBE
State: optimized geometry

Geometry as POSCAR:
```
LaY12Er5
1.0
15.124 0.000 0.009
7.562 7.570 0.004
-0.003 0.000 5.038
La Y Er
1 12 5
Cartesian
0.000 0.000 0.000
12.580 0.000 2.527
2.542 0.000 2.520
10.057 0.000 0.007
5.064 0.000 5.040
10.084 5.023 5.044
5.037 5.023 0.003
17.646 2.546 5.048
12.600 2.546 0.008
10.051 2.513 2.526
17.613 5.057 2.530
5.070 2.513 2.522
12.633 5.057 2.526
7.561 0.000 2.524
7.561 5.010 2.524
15.123 2.560 2.528
15.124 5.049 0.009
7.562 2.521 0.004
```

crystal system: orthorhombic
final energy: -5.822 eV/atom
total moment: 0.0 Bohr magnetons per cell

***

11.
Material: LaPm3Th4As8
Method: DFT, PBE
State: optimized geometry

Geometry as POSCAR:
```
LaPm3Th4As8
1.0
-1.331 5.337 -6.522
-3.243 -6.407 -4.581
-3.202 1.794 7.703
La Pm Th As
1 3 4 8
Cartesian
-1.622 -3.204 -2.291
-2.287 -0.535 -5.552
-3.888 0.362 -1.701
-3.223 -2.307 1.561
-0.666 2.669 -3.261
-2.266 3.566 0.590
0.000 0.000 0.000
-1.601 0.897 3.851
-2.783 -3.479 -5.090
-4.396 -2.575 -1.210
-2.736 0.635 1.078
-3.444 -0.830 -8.327
-4.333 1.554 4.926
-5.040 0.090 -4.479
-3.380 3.299 -2.191
-4.993 4.203 1.689
```

crystal system: trigonal
final energy: -6.862 eV/atom
total moment: 0.0 Bohr magnetons per cell

***

12.
Material: Ce3IrS2
Method: DFT, PBE
State: optimized geometry

Geometry as POSCAR:
```
Ce3IrS2
1.0
5.783 0.000 0.000
0.000 7.945 0.002
-2.891 -1.988 6.235
Ce Ir S
6 2 4
Cartesian
2.892 1.986 0.000
2.891 5.959 0.001
0.000 -0.001 2.002
2.891 1.985 4.234
0.000 3.972 2.003
2.891 5.958 4.235
5.782 5.959 0.001
0.001 1.986 0.000
2.891 3.972 2.117
2.891 -0.001 2.116
0.000 5.958 4.121
0.000 1.985 4.120
```

uncorrected formation energy: -1.53 eV/atom
crystal system: orthorhombic
final energy: -7.353 eV/atom
total moment: 5.4 Bohr magnetons per cell

***

13.
Material: RbBiAs2Br
Method: DFT, PBE
State: optimized geometry

Geometry as POSCAR:
```
RbBiAs2Br
1.0
-2.163 -1.390 4.881
3.480 -4.269 0.326
4.199 3.644 2.899
As Br Bi Rb
2 1 1 1
Cartesian
1.740 -2.134 0.163
-1.082 -0.695 2.441
2.100 1.822 1.449
0.000 0.000 0.000
2.758 -1.007 4.053
```

uncorrected formation energy: 0.01 eV/atom
crystal system: tetragonal
final energy: -3.150 eV/atom
total moment: 1.2 Bohr magnetons per cell
energy relative to the lowest polymorph listed for this composition: 0.000 eV per atom

***

14.
Material: V5Co8Pt
Method: DFT, PBE
State: optimized geometry

Geometry as POSCAR:
```
V5Co8Pt
1.0
6.065 -0.033 0.057
-2.083 5.696 -0.057
-1.898 -2.896 4.979
V Co Pt
5 8 1
Cartesian
-0.663 1.632 0.733
2.847 4.550 1.056
2.121 1.574 3.490
2.083 -1.465 2.518
-0.138 -2.224 4.679
-0.856 4.044 0.396
4.149 -1.631 3.376
3.246 0.526 1.609
1.506 -0.436 4.698
1.480 2.567 1.373
0.113 2.865 4.238
0.760 0.255 1.949
-2.067 2.875 2.278
-0.949 0.667 3.720
```

crystal system: tetragonal
final energy: -7.658 eV/atom
total moment: 0.0 Bohr magnetons per cell

***

15.
Material: CdTcRu2
Method: DFT, PBE
State: optimized geometry

Geometry as POSCAR:
```
CdTcRu2
1.0
4.797 -0.011 0.000
1.509 4.554 0.000
-3.153 -2.271 2.813
Cd Ru Tc
1 2 1
Cartesian
2.398 -0.005 1.406
0.000 0.000 0.000
3.153 2.271 0.000
0.754 2.277 1.406
```

crystal system: tetragonal
final energy: -7.024 eV/atom
total moment: 0.5 Bohr magnetons per cell

***

16.
Material: ZrPIr
Method: DFT, PBE
State: optimized geometry

Geometry as POSCAR:
```
ZrPIr
1.0
3.302 -0.245 -3.305
3.911 -2.023 1.578
-4.568 -0.828 -0.575
Zr P Ir
1 1 1
Cartesian
2.442 -0.768 -0.585
4.854 -1.527 -1.162
7.129 -2.242 -1.707
```

crystal system: orthorhombic
final energy: -8.057 eV/atom
total moment: 0.0 Bohr magnetons per cell